# 1
The following is a PBE calculation of LaSc2Ga2Cu2 after structural relaxation, from Alexandria via LeMat-Bulk.

```
7
Lattice="2.193 1.266 8.608 -2.193 1.266 8.608 0.000 -2.532 8.608" Properties=species:S:1:pos:R:3 pbc="T T T"
La 0.000 0.000 0.000
Sc 0.000 0.000 3.392
Sc 0.000 0.000 22.433
Ga 0.000 0.000 6.462
Ga 0.000 0.000 19.362
Cu 0.000 0.000 10.923
Cu 0.000 0.000 14.902
```

## Properties
- formation enthalpy at 0 K (meV per atom) = -428

# 2
The following is a PBE calculation of La2GaCuSe5 after structural relaxation, from Alexandria via LeMat-Bulk.

```
18
Lattice="2.064 -9.120 0.000 2.064 9.120 0.000 0.000 0.000 12.015" Properties=species:S:1:pos:R:3 pbc="T T T"
La 2.064 7.035 6.008
La 2.064 6.702 1.414
La 2.064 -6.702 7.422
La 2.064 -7.035 0.000
Ga 2.064 1.369 3.257
Ga 2.064 -1.369 9.265
Cu 2.064 4.535 10.948
Cu 2.064 -4.535 4.941
Se 2.064 8.308 10.568
Se 2.064 3.744 5.708
Se 2.064 3.370 1.893
Se 2.064 2.506 9.760
Se 2.064 0.039 7.201
Se 2.064 -0.039 1.193
Se 2.064 -2.506 3.752
Se 2.064 -3.370 7.900
Se 2.064 -3.744 11.716
Se 2.064 -8.308 4.560
```

## Properties
- E_form (uncorrected) (eV per atom) = -1.304

# 3
The following is a PBE calculation of La2Ga3Cu4Si after structural relaxation, from Alexandria via LeMat-Bulk.

```
10
Lattice="4.296 0.000 0.000 0.000 4.296 0.000 0.000 0.000 9.957" Properties=species:S:1:pos:R:3 pbc="T T T"
La 0.000 2.148 2.474
La 2.148 0.000 7.484
Ga 0.000 0.000 0.000
Ga 0.000 2.148 6.254
Ga 2.148 0.000 3.703
Cu 0.000 0.000 4.979
Cu 0.000 2.148 8.740
Cu 2.148 0.000 1.217
Cu 2.148 2.148 4.979
Si 2.148 2.148 0.000
```

## Properties
- E_form (uncorrected) (eV per atom) = -0.452

# 4
The following is a PBE calculation of La2SmGa2Cu2 after structural relaxation, from Alexandria via LeMat-Bulk.

```
7
Lattice="2.224 1.284 9.375 -2.224 1.284 9.375 0.000 -2.568 9.375" Properties=species:S:1:pos:R:3 pbc="T T T"
La 0.000 0.000 3.586
La 0.000 0.000 24.538
Sm 0.000 0.000 0.000
Ga 0.000 0.000 7.535
Ga 0.000 0.000 20.589
Cu 0.000 0.000 11.117
Cu 0.000 0.000 17.007
```

## Properties
- formation enthalpy at 0 K (meV per atom) = -397

# 5
The following is a PBE calculation of LaSm2Ga2Cu2 after structural relaxation, from Alexandria via LeMat-Bulk.

```
7
Lattice="2.242 1.295 9.396 -2.242 1.295 9.396 0.000 -2.589 9.396" Properties=species:S:1:pos:R:3 pbc="T T T"
La 0.000 0.000 0.000
Sm 0.000 0.000 3.533
Sm 0.000 0.000 24.656
Ga 0.000 0.000 7.319
Ga 0.000 0.000 20.870
Cu 0.000 0.000 11.382
Cu 0.000 0.000 16.807
```

## Properties
- formation enthalpy at 0 K (meV per atom) = -388

# 6
The following is a PBE calculation of La2Sm2Ga4Cu after structural relaxation, from Alexandria via LeMat-Bulk.

```
9
Lattice="-3.555 3.555 4.402 3.555 -3.555 4.402 3.555 3.555 -4.402" Properties=species:S:1:pos:R:3 pbc="T T T"
La 3.555 0.000 2.201
La 0.000 3.555 2.201
Sm 0.000 0.000 1.627
Sm 0.000 0.000 7.176
Ga 1.872 1.872 0.000
Ga 1.682 -1.682 4.402
Ga -1.682 1.682 4.402
Ga 1.682 1.682 4.402
Cu 0.000 0.000 4.402
```

## Properties
- formation enthalpy at 0 K (meV per atom) = -391

# 7
The following is a PBE calculation of La2GaCu4Sn3 after structural relaxation, from Alexandria via LeMat-Bulk.

```
10
Lattice="4.458 0.000 0.000 0.000 4.458 0.000 0.000 0.000 10.601" Properties=species:S:1:pos:R:3 pbc="T T T"
La 0.000 2.229 2.635
La 2.229 0.000 7.966
Ga 0.000 0.000 5.301
Cu 0.000 0.000 0.000
Cu 0.000 2.229 6.643
Cu 2.229 0.000 3.958
Cu 2.229 2.229 0.000
Sn 0.000 2.229 9.213
Sn 2.229 0.000 1.388
Sn 2.229 2.229 5.301
```

## Properties
- formation enthalpy at 0 K (meV per atom) = -473

# 8
The following is a PBE calculation of La2GaCu3Sn4 after structural relaxation, from Alexandria via LeMat-Bulk.

```
10
Lattice="4.602 0.000 0.000 0.000 4.602 0.000 0.000 0.000 10.682" Properties=species:S:1:pos:R:3 pbc="T T T"
La 0.000 2.301 2.634
La 2.301 0.000 8.047
Ga 2.301 2.301 0.000
Cu 0.000 0.000 0.000
Cu 0.000 2.301 6.702
Cu 2.301 0.000 3.980
Sn 0.000 0.000 5.341
Sn 0.000 2.301 9.234
Sn 2.301 0.000 1.448
Sn 2.301 2.301 5.341
```

## Properties
- formation enthalpy at 0 K (meV per atom) = -443

# 9
The following is a PBE calculation of SrLaGaCu after structural relaxation, from Alexandria via LeMat-Bulk.

```
4
Lattice="0.000 3.772 3.772 3.772 0.000 3.772 3.772 3.772 0.000" Properties=species:S:1:pos:R:3 pbc="T T T"
Sr 0.000 0.000 0.000
La 3.772 3.772 3.772
Ga 1.886 1.886 1.886
Cu 5.658 5.658 5.658
```

## Properties
- formation enthalpy at 0 K (meV per atom) = -243

# 10
The following is a PBE calculation of LaTb2Ga2Cu2 after structural relaxation, from Alexandria via LeMat-Bulk.

```
7
Lattice="2.235 1.290 9.237 -2.235 1.290 9.237 0.000 -2.580 9.237" Properties=species:S:1:pos:R:3 pbc="T T T"
La 0.000 0.000 0.000
Tb 0.000 0.000 3.489
Tb 0.000 0.000 24.221
Ga 0.000 0.000 7.128
Ga 0.000 0.000 20.582
Cu 0.000 0.000 11.275
Cu 0.000 0.000 16.435
```

## Properties
- formation enthalpy at 0 K (meV per atom) = -400

# 11
The following is a PBE calculation of La2TbGa2Cu2 after structural relaxation, from Alexandria via LeMat-Bulk.

```
7
Lattice="2.212 1.277 9.318 -2.212 1.277 9.318 0.000 -2.554 9.318" Properties=species:S:1:pos:R:3 pbc="T T T"
La 0.000 0.000 3.542
La 0.000 0.000 24.411
Tb 0.000 0.000 0.000
Ga 0.000 0.000 7.559
Ga 0.000 0.000 20.394
Cu 0.000 0.000 10.954
Cu 0.000 0.000 16.998
```

## Properties
- formation enthalpy at 0 K (meV per atom) = -408

# 12
The following is a PBE calculation of La2ThGa2Cu2 after structural relaxation, from Alexandria via LeMat-Bulk.

```
7
Lattice="2.224 1.284 9.416 -2.224 1.284 9.416 0.000 -2.568 9.416" Properties=species:S:1:pos:R:3 pbc="T T T"
La 0.000 0.000 3.655
La 0.000 0.000 24.594
Th 0.000 0.000 0.000
Ga 0.000 0.000 7.543
Ga 0.000 0.000 20.706
Cu 0.000 0.000 11.197
Cu 0.000 0.000 17.052
```

## Properties
- formation enthalpy at 0 K (meV per atom) = -378

# 13
The following is a PBE calculation of LaTlGaCu after structural relaxation, from Alexandria via LeMat-Bulk.

```
4
Lattice="0.000 3.571 3.571 3.571 0.000 3.571 3.571 3.571 0.000" Properties=species:S:1:pos:R:3 pbc="T T T"
La 0.000 0.000 0.000
Tl 3.571 3.571 3.571
Ga 1.785 1.785 1.785
Cu 5.356 5.356 5.356
```

## Properties
- formation enthalpy at 0 K (meV per atom) = -229

# 14
The following is a PBE calculation of LaTlGaCu2 after structural relaxation, from Alexandria via LeMat-Bulk.

```
5
Lattice="4.873 0.000 0.000 0.000 4.873 0.000 0.000 0.000 5.340" Properties=species:S:1:pos:R:3 pbc="T T T"
La 0.000 0.000 0.000
Tl 2.436 2.436 2.670
Ga 2.436 2.436 0.000
Cu 0.000 2.436 2.670
Cu 2.436 0.000 2.670
```

## Properties
- formation enthalpy at 0 K (meV per atom) = 333

# 15
The following is a PBE calculation of LaTmGa2Cu2 after structural relaxation, from Alexandria via LeMat-Bulk.

```
6
Lattice="4.388 0.000 0.000 -2.194 3.800 0.000 0.000 0.000 7.410" Properties=species:S:1:pos:R:3 pbc="T T T"
La 0.000 0.000 0.000
Tm 0.000 0.000 3.705
Ga 0.000 2.533 2.090
Ga 2.194 1.267 5.320
Cu 0.000 2.533 5.217
Cu 2.194 1.267 2.193
```

## Properties
- formation enthalpy at 0 K (meV per atom) = -491

# 16
The following is a PBE calculation of LaYGa2Cu2 after structural relaxation, from Alexandria via LeMat-Bulk.

```
6
Lattice="4.427 0.000 0.000 -2.214 3.834 0.000 0.000 0.000 7.414" Properties=species:S:1:pos:R:3 pbc="T T T"
La 0.000 0.000 0.000
Y 0.000 0.000 3.707
Ga 0.000 2.556 2.063
Ga 2.214 1.278 5.351
Cu 0.000 2.556 5.275
Cu 2.214 1.278 2.139
```

## Properties
- formation enthalpy at 0 K (meV per atom) = -483

# 17
The following is a PBE calculation of La2YGa2Cu2 after structural relaxation, from Alexandria via LeMat-Bulk.

```
7
Lattice="2.210 1.276 9.246 -2.210 1.276 9.246 0.000 -2.552 9.246" Properties=species:S:1:pos:R:3 pbc="T T T"
La 0.000 0.000 3.551
La 0.000 0.000 24.187
Y 0.000 0.000 0.000
Ga 0.000 0.000 7.488
Ga 0.000 0.000 20.249
Cu 0.000 0.000 10.901
Cu 0.000 0.000 16.837
```

## Properties
- formation enthalpy at 0 K (meV per atom) = -411

# 18
The following is a PBE calculation of La2Zn4GaCu3 after structural relaxation, from Alexandria via LeMat-Bulk.

```
10
Lattice="4.247 0.000 0.000 0.000 4.247 0.000 0.000 0.000 10.552" Properties=species:S:1:pos:R:3 pbc="T T T"
La 0.000 2.123 2.641
La 2.123 0.000 7.911
Zn 0.000 0.000 0.000
Zn 0.000 2.123 6.684
Zn 2.123 0.000 3.868
Zn 2.123 2.123 0.000
Ga 0.000 0.000 5.276
Cu 0.000 2.123 9.168
Cu 2.123 0.000 1.384
Cu 2.123 2.123 5.276
```

## Properties
- formation enthalpy at 0 K (meV per atom) = -293

# 19
The following is a PBE calculation of LaZn2GaCu after structural relaxation, from Alexandria via LeMat-Bulk.

```
5
Lattice="-2.148 2.154 5.235 2.148 -2.154 5.235 2.148 2.154 -5.235" Properties=species:S:1:pos:R:3 pbc="T T T"
La 0.000 0.000 0.000
Zn 0.000 0.000 4.051
Zn 0.000 2.154 2.595
Ga 2.148 0.000 2.568
Cu 0.000 0.000 6.515
```

## Properties
- energy above the most stable polymorph in this dataset (kJ/mol of formula units) = 0
- formation enthalpy at 0 K (meV per atom) = -369

# 20
The following is a PBE calculation of La2Zn12GaCu3 after structural relaxation, from Alexandria via LeMat-Bulk.

```
18
Lattice="4.152 2.397 6.458 -4.152 2.397 6.458 0.000 -4.794 6.458" Properties=species:S:1:pos:R:3 pbc="T T T"
La 0.000 0.000 1.945
La 0.000 0.000 17.429
Zn -2.034 -1.174 8.967
Zn 0.000 -1.661 5.312
Zn -1.438 0.830 5.312
Zn 0.000 -2.348 10.407
Zn -2.034 1.174 10.407
Zn -1.438 -0.830 14.062
Zn 1.438 0.830 5.312
Zn 2.034 -1.174 8.967
Zn 0.000 2.348 8.967
Zn 1.438 -0.830 14.062
Zn 0.000 1.661 14.062
Zn 2.034 1.174 10.407
Ga 0.000 0.000 9.687
Cu -2.076 -1.199 6.458
Cu -2.076 1.199 12.916
Cu 0.000 2.397 6.458
```

## Properties
- formation enthalpy at 0 K (meV per atom) = 189